A geometry-optimized BaSe2N structure, computed with GGA-PBE.

Properties
Uncorrected energy = -3.961 eV/atom
Space group = R-3m

Lattice parameters (Å, degrees): 5.9156 5.9156 5.9156 45.56 45.56 45.56
Last column: magnetic moment on the atom in μB.
Fractional positions:
Ba 0.0000 0.0000 0.0000  -0.01
Se 0.8052 0.8052 0.8052  -0.05
Se 0.1948 0.1948 0.1948  -0.05
N 0.5000 0.5000 0.5000  0.32